Record 1
Compound: Cd2CoHg
Source: Alexandria
Functional: PBEsol
Structure: optimized geometry

Summary:
- density (g/cm3) = 11.48
- raw total energy (eV per atom) = -2.37
- crystal system = monoclinic
- formation enthalpy at 0 K (eV per atom) = 0.300

a = 4.8241 Å, b = 3.0850 Å, c = 4.9216 Å
α = 90.00°, β = 107.00°, γ = 90.00°
Space group P2/m (No. 10)
Asymmetric unit:
1 Cd 0.0000 0.0000 0.0000 x1
2 Cd 0.5000 0.5000 0.0000 x1
3 Co 0.0000 0.5000 0.5000 x1
4 Hg 0.5000 0.0000 0.5000 x1



Record 2
Compound: MgPtSeBr2
Source: Alexandria
Functional: PBEsol
Structure: optimized geometry

Summary:
- density (g/cm3) = 6.02
- raw total energy (eV per atom) = -3.36
- crystal system = tetragonal

a = 4.9998 Å, b = 4.9998 Å, c = 5.0516 Å
α = 90.00°, β = 90.00°, γ = 90.00°
Space group P4/mmm (No. 123)
Asymmetric unit:
1 Mg 0.0000 0.0000 0.0000 x1
2 Pt 0.5000 0.5000 0.5000 x1
3 Se 0.5000 0.5000 0.0000 x1
4 Br 0.0000 0.5000 0.5000 x2



Record 3
Compound: CsZr2SiSn
Source: Alexandria
Functional: PBEsol
Structure: optimized geometry

Summary:
- density (g/cm3) = 4.28
- raw total energy (eV per atom) = -4.47
- crystal system = tetragonal

a = 5.3941 Å, b = 5.3941 Å, c = 6.1597 Å
α = 90.00°, β = 90.00°, γ = 90.00°
Space group P4/mmm (No. 123)
Asymmetric unit:
1 Cs 0.0000 0.0000 0.0000 x1
2 Zr 0.0000 0.5000 0.5000 x2
3 Si 0.5000 0.5000 0.0000 x1
4 Sn 0.0000 0.0000 0.5000 x1



Record 4
Compound: Ca4Tl3O9
Source: Alexandria
Functional: PBEsol
Structure: optimized geometry

Summary:
- density (g/cm3) = 6.89
- raw total energy (eV per atom) = -5.78
- crystal system = monoclinic

a = 11.1067 Å, b = 3.3446 Å, c = 12.1802 Å
α = 90.00°, β = 102.34°, γ = 90.00°
Space group C2/m (No. 12)
Asymmetric unit:
1 Ca 0.0457 0.0000 0.2825 x4
2 Ca 0.2390 0.5000 0.8734 x4
3 Tl 0.0000 0.5000 0.0000 x2
4 Tl 0.1494 0.5000 0.5629 x4
5 O 0.0000 0.0000 0.5000 x2
6 O 0.0945 0.5000 0.7150 x4
7 O 0.1243 0.0000 0.9439 x4
8 O 0.1239 0.5000 0.1642 x4
9 O 0.1920 0.5000 0.3984 x4



Record 5
Compound: Nd4MgCo
Source: Alexandria
Functional: PBEsol
Structure: optimized geometry

Summary:
- density (g/cm3) = 6.78
- raw total energy (eV per atom) = -5.11
- crystal system = cubic
- formation enthalpy at 0 K (eV per atom) = -0.091

a = 13.7260 Å, b = 13.7260 Å, c = 13.7260 Å
α = 90.00°, β = 90.00°, γ = 90.00°
Space group F-43m (No. 216)
Asymmetric unit:
1 Nd 0.0000 0.0000 0.1873 x24
2 Nd 0.0609 0.2500 0.2500 x24
3 Nd 0.1555 0.1555 0.6555 x16
4 Mg 0.0791 0.0791 0.4209 x16
5 Co 0.1409 0.1409 0.8591 x16



Record 6
Compound: RbBiCl2
Source: Alexandria
Functional: PBEsol
Structure: optimized geometry

Summary:
- density (g/cm3) = 5.41
- raw total energy (eV per atom) = -3.02
- crystal system = cubic

a = 7.6551 Å, b = 7.6551 Å, c = 7.6551 Å
α = 90.00°, β = 90.00°, γ = 90.00°
Space group Fm-3m (No. 225)
Asymmetric unit:
1 Rb 0.0000 0.0000 0.0000 x4
2 Bi 0.0000 0.0000 0.5000 x4
3 Cl 0.2500 0.2500 0.2500 x8



Record 7
Compound: CaLa2Rh
Source: Alexandria
Functional: PBEsol
Structure: optimized geometry

Summary:
- density (g/cm3) = 6.09
- raw total energy (eV per atom) = -5.57
- crystal system = orthorhombic
- formation enthalpy at 0 K (eV per atom) = -0.325

a = 3.7990 Å, b = 5.7123 Å, c = 10.5697 Å
α = 90.00°, β = 90.00°, γ = 90.00°
Space group Immm (No. 71)
Asymmetric unit:
1 Ca 0.0000 0.0000 0.0000 x2
2 La 0.0000 0.5000 0.1902 x4
3 Rh 0.0000 0.0000 0.5000 x2



Record 8
Compound: TaAlCr2
Source: Alexandria
Functional: PBEsol
Structure: optimized geometry

Summary:
- density (g/cm3) = 9.47
- raw total energy (eV per atom) = -9.32
- crystal system = tetragonal
- formation enthalpy at 0 K (eV per atom) = -0.038

a = 2.8819 Å, b = 2.8819 Å, c = 6.5866 Å
α = 90.00°, β = 90.00°, γ = 90.00°
Space group P4mm (No. 99)
Asymmetric unit:
1 Ta 0.0000 0.0000 0.0000 x1
2 Al 0.5000 0.5000 0.3039 x1
3 Cr 0.0000 0.0000 0.5455 x1
4 Cr 0.5000 0.5000 0.7218 x1



no.,N(E_F) (states/eV/cell)
1,4.10
2,2.38
3,5.65
4,17.40
5,84.92
6,17.84
7,6.59
8,2.27